(1)
VASP calculation (PBE) on a relaxed structure of TmInAu6.

Cell lengths 5.0170, 5.9153, 5.2054 Å; angles 90.00, 90.00, 90.00 degrees
With the nearest neighbours (Å) after each atom.
Fractional coordinates of all 8 atoms:
Tm (0.0000, 0.0000, 0.0000)  12 Au 2.96-3.05
In (0.5000, 0.5000, 0.3202)  12 Au 2.96-3.05
Au (0.0000, 0.2548, 0.5009)  8 Au 2.90-3.07, 2 Tm 3.00-3.01, 2 In 3.05
Au (0.0000, 0.5000, 0.0000)  2 Tm 2.96, 8 Au 2.98-3.05, 2 In 3.01
Au (0.0000, 0.7452, 0.5009)  8 Au 2.90-3.07, 2 Tm 3.00-3.01, 2 In 3.05
Au (0.5000, 0.0000, 0.3222)  2 In 2.96, 8 Au 2.98-3.07, 2 Tm 3.02
Au (0.5000, 0.2493, 0.8248)  8 Au 2.95-3.05, 2 In 2.97-3.02, 2 Tm 3.05
Au (0.5000, 0.7507, 0.8248)  8 Au 2.95-3.05, 2 In 2.97-3.02, 2 Tm 3.05

Output
For the total magnetization, the calculation gives 0.00 μB per formula unit. Its raw total energy is -30.056 eV/cell.


(2)
VASP calculation (PBE) on a relaxed structure of TmZrIn2Au4.

Cell lengths 4.7117, 4.7117, 8.7799 Å; angles 90.00, 90.00, 120.00 degrees
With the nearest neighbours (Å) after each atom.
Fractional coordinates of all 8 atoms:
Tm (0.0000, 0.0000, 0.0000)  8 Au 3.00-3.06
Zr (0.3333, 0.6667, 0.5000)  8 Au 2.99-3.06, 6 In 3.29
In (0.6667, 0.3333, 0.2898)  6 Au 2.76-2.95
In (0.6667, 0.3333, 0.7101)  6 Au 2.76-2.95
Au (0.0000, 0.0000, 0.3413)  3 In 2.76, 1 Au 2.79, 1 Tm 3.00, 3 Zr 3.06
Au (0.0000, 0.0000, 0.6587)  3 In 2.76, 1 Au 2.79, 1 Tm 3.00, 3 Zr 3.06
Au (0.3333, 0.6667, 0.1590)  1 Au 2.79, 3 In 2.95, 1 Zr 2.99, 3 Tm 3.06
Au (0.3333, 0.6667, 0.8410)  1 Au 2.79, 3 In 2.95, 1 Zr 2.99, 3 Tm 3.06

Output
For the total magnetization, the calculation gives 0.01 μB per formula unit. Its raw total energy is -35.938 eV/cell.


(3)
VASP calculation (PBE) on a relaxed structure of In2WAu.

Cell lengths 6.7897, 6.7897, 6.7897 Å; angles 90.00, 90.00, 90.00 degrees
With the nearest neighbours (Å) after each atom.
Fractional coordinates of all 16 atoms:
In (0.0000, 0.0000, 0.0000)  4 In 2.94, 4 Au 2.94
In (0.0000, 0.5000, 0.5000)  4 In 2.94, 4 Au 2.94
In (0.2500, 0.2500, 0.2500)  4 In 2.94, 4 W 2.94
In (0.2500, 0.7500, 0.7500)  4 In 2.94, 4 W 2.94
In (0.5000, 0.0000, 0.5000)  4 In 2.94, 4 Au 2.94
In (0.5000, 0.5000, 0.0000)  4 In 2.94, 4 Au 2.94
In (0.7500, 0.2500, 0.7500)  4 In 2.94, 4 W 2.94
In (0.7500, 0.7500, 0.2500)  4 In 2.94, 4 W 2.94
W (0.0000, 0.0000, 0.5000)  4 In 2.94, 4 Au 2.94
W (0.0000, 0.5000, 0.0000)  4 In 2.94, 4 Au 2.94
W (0.5000, 0.0000, 0.0000)  4 In 2.94, 4 Au 2.94
W (0.5000, 0.5000, 0.5000)  4 In 2.94, 4 Au 2.94
Au (0.2500, 0.2500, 0.7500)  4 In 2.94, 4 W 2.94
Au (0.2500, 0.7500, 0.2500)  4 In 2.94, 4 W 2.94
Au (0.7500, 0.2500, 0.2500)  4 In 2.94, 4 W 2.94
Au (0.7500, 0.7500, 0.7500)  4 W 2.94, 4 In 2.94

Output
For the total magnetization, the calculation gives 1.72 μB per formula unit. Its raw total energy is -74.296 eV/cell.


(4)
VASP calculation (PBE) on a relaxed structure of YIn2Au.

Cell lengths 7.1787, 7.1787, 7.1787 Å; angles 90.00, 90.00, 90.00 degrees
With the nearest neighbours (Å) after each atom.
Fractional coordinates of all 16 atoms:
Y (0.0000, 0.0000, 0.0000)  4 In 3.11, 4 Au 3.11
Y (0.0000, 0.5000, 0.5000)  4 In 3.11, 4 Au 3.11
Y (0.5000, 0.0000, 0.5000)  4 In 3.11, 4 Au 3.11
Y (0.5000, 0.5000, 0.0000)  4 In 3.11, 4 Au 3.11
In (0.0000, 0.0000, 0.5000)  4 Au 3.11, 4 In 3.11
In (0.0000, 0.5000, 0.0000)  4 Au 3.11, 4 In 3.11
In (0.2500, 0.2500, 0.2500)  4 In 3.11, 4 Y 3.11
In (0.2500, 0.7500, 0.7500)  4 In 3.11, 4 Y 3.11
In (0.5000, 0.0000, 0.0000)  4 Au 3.11, 4 In 3.11
In (0.5000, 0.5000, 0.5000)  4 Au 3.11, 4 In 3.11
In (0.7500, 0.2500, 0.7500)  4 In 3.11, 4 Y 3.11
In (0.7500, 0.7500, 0.2500)  4 In 3.11, 4 Y 3.11
Au (0.2500, 0.2500, 0.7500)  4 In 3.11, 4 Y 3.11
Au (0.2500, 0.7500, 0.2500)  4 In 3.11, 4 Y 3.11
Au (0.7500, 0.2500, 0.2500)  4 In 3.11, 4 Y 3.11
Au (0.7500, 0.7500, 0.7500)  4 In 3.11, 4 Y 3.11

Output
For the total magnetization, the calculation gives 0.00 μB per formula unit. Its raw total energy is -67.698 eV/cell.


(5)
VASP calculation (PBE) on a relaxed structure of Y2InAu2.

Cell lengths 4.9598, 4.9598, 10.9845 Å; angles 90.00, 90.00, 90.00 degrees
With the nearest neighbours (Å) after each atom.
Fractional coordinates of all 10 atoms:
Y (0.0000, 0.5000, 0.2500)  4 Au 2.87
Y (0.0000, 0.5000, 0.7500)  4 Au 2.87
Y (0.5000, 0.0000, 0.2500)  4 Au 2.87
Y (0.5000, 0.0000, 0.7500)  4 Au 2.87
In (0.0000, 0.0000, 0.0000)  8 Y 3.70, 8 Au 3.74
In (0.5000, 0.5000, 0.5000)  8 Y 3.70, 8 Au 3.74
Au (0.0000, 0.0000, 0.3808)  1 Au 2.62, 4 Y 2.87
Au (0.0000, 0.0000, 0.6192)  1 Au 2.62, 4 Y 2.87
Au (0.5000, 0.5000, 0.1192)  1 Au 2.62, 4 Y 2.87
Au (0.5000, 0.5000, 0.8808)  1 Au 2.62, 4 Y 2.87

Output
For the total magnetization, the calculation gives 0.00 μB per formula unit. Its raw total energy is -49.106 eV/cell.


(6)
VASP calculation (PBE) on a relaxed structure of Y2In5Au3.

Cell lengths 13.7544, 13.7544, 7.5072 Å; angles 90.00, 90.00, 160.98 degrees
With the nearest neighbours (Å) after each atom.
Fractional coordinates of all 20 atoms:
Y (0.0214, 0.9786, 0.5000)  5 Au 3.00-3.33, 2 In 3.27
Y (0.3247, 0.6753, 0.4450)  9 In 3.24-3.60, 4 Au 3.27-3.54
Y (0.6753, 0.3247, 0.9450)  9 In 3.24-3.60, 4 Au 3.27-3.54
Y (0.9786, 0.0214, 0.0000)  5 Au 3.00-3.33, 2 In 3.27
In (0.0994, 0.9006, 0.1296)  3 Au 2.81-2.90, 1 In 2.99
In (0.2058, 0.7942, 0.2329)  3 Au 2.82-2.87, 1 In 2.99
In (0.2078, 0.7922, 0.6556)  4 Au 2.76-2.84
In (0.3804, 0.6196, 0.9889)  4 Au 2.86-2.99, 1 In 3.19
In (0.4470, 0.5530, 0.3383)  4 Au 2.77-2.89
In (0.5530, 0.4470, 0.8383)  4 Au 2.77-2.89
In (0.6196, 0.3804, 0.4889)  4 Au 2.86-2.99, 1 In 3.19
In (0.7922, 0.2078, 0.1556)  4 Au 2.76-2.84
In (0.7942, 0.2058, 0.7329)  3 Au 2.82-2.87, 1 In 2.99
In (0.9006, 0.0994, 0.6296)  3 Au 2.81-2.90, 1 In 2.99
Au (0.1090, 0.8910, 0.7445)  6 In 2.76-2.99, 1 Y 3.00
Au (0.2753, 0.7247, 0.9447)  7 In 2.81-2.87
Au (0.4559, 0.5441, 0.7223)  5 In 2.77-2.89
Au (0.5441, 0.4559, 0.2223)  5 In 2.77-2.89
Au (0.7247, 0.2753, 0.4447)  7 In 2.81-2.87
Au (0.8910, 0.1090, 0.2445)  6 In 2.76-2.99, 1 Y 3.00

Output
For the total magnetization, the calculation gives 0.00 μB per formula unit. Its raw total energy is -82.942 eV/cell.